1.
Density functional theory data (GGA-PBE) for a relaxed CsSn2H crystal.

The structure in CIF format:
```
data_CsSn2H
_cell_length_a 7.8945
_cell_length_b 7.8945
_cell_length_c 7.8945
_cell_angle_alpha 90.00
_cell_angle_beta 90.00
_cell_angle_gamma 90.00
_symmetry_space_group_name_H-M 'F m -3 m'
_symmetry_Int_Tables_number 225
_symmetry_space_group_name_Hall '-F 4 2 3'
loop_
_atom_site_label
_atom_site_fract_x
_atom_site_fract_y
_atom_site_fract_z
Cs1 0.0000 0.0000 0.0000
Sn1 0.2500 0.2500 0.2500
H1 0.0000 0.0000 0.5000
```

polymorph energy (0 for the lowest one) = 0.706 eV/atom

2.
Density functional theory data (GGA-PBE) for a relaxed Ca2NdIn crystal.

The structure in CIF format:
```
data_Ca2NdIn
_cell_length_a 9.2774
_cell_length_b 11.1146
_cell_length_c 5.2571
_cell_angle_alpha 90.00
_cell_angle_beta 90.00
_cell_angle_gamma 90.00
_symmetry_space_group_name_H-M 'C m c m'
_symmetry_Int_Tables_number 63
_symmetry_space_group_name_Hall '-C 2c 2'
loop_
_atom_site_label
_atom_site_fract_x
_atom_site_fract_y
_atom_site_fract_z
Ca1 0.2003 0.1178 0.2500
Nd1 0.0000 0.3921 0.2500
In1 0.0000 0.2057 0.7500
```

ΔH_f (0 K) = -0.20 eV/atom
polymorph energy (0 for the lowest one) = 0.044 eV/atom

3.
Density functional theory data (GGA-PBE) for a relaxed GaPCS2 crystal.

The structure in CIF format:
```
data_GaPCS2
_cell_length_a 4.1399
_cell_length_b 4.1399
_cell_length_c 4.2317
_cell_angle_alpha 90.00
_cell_angle_beta 90.00
_cell_angle_gamma 90.00
_symmetry_space_group_name_H-M 'P 4/m m m'
_symmetry_Int_Tables_number 123
_symmetry_space_group_name_Hall '-P 4 2'
loop_
_atom_site_label
_atom_site_fract_x
_atom_site_fract_y
_atom_site_fract_z
Ga1 0.0000 0.0000 0.0000
P1 0.5000 0.5000 0.0000
C1 0.5000 0.5000 0.5000
S1 0.0000 0.5000 0.5000
```

formation energy from raw total energies = 1.09 eV per atom
polymorph energy (0 for the lowest one) = 0.000 eV/atom

4.
Density functional theory data (GGA-PBE) for a relaxed TlTc4Rh crystal.

The structure in CIF format:
```
data_TlTc4Rh
_cell_length_a 7.3291
_cell_length_b 7.3291
_cell_length_c 7.3291
_cell_angle_alpha 90.00
_cell_angle_beta 90.00
_cell_angle_gamma 90.00
_symmetry_space_group_name_H-M 'F -4 3 m'
_symmetry_Int_Tables_number 216
_symmetry_space_group_name_Hall 'F -4 2 3'
loop_
_atom_site_label
_atom_site_fract_x
_atom_site_fract_y
_atom_site_fract_z
Tl1 0.0000 0.0000 0.0000
Tc1 0.1240 0.1240 0.3760
Rh1 0.2500 0.2500 0.7500
```

ΔH_f (0 K) = 0.55 eV/atom